# 1
SrTe3Mo (GGA-PBE, relaxed); crystal system = cubic; formation energy (no corrections) = 93.00 kJ per mole of atoms; theoretical density = 4.150 g/cm3; SG = No. 221; energy = -17.1 eV per cell
1.0
6.097 0.000 0.000
0.000 6.097 0.000
0.000 0.000 6.097
Sr Te Mo
1 3 1
Cartesian
0.000 0.000 0.000
0.000 0.000 3.048
0.000 3.048 0.000
3.048 0.000 0.000
3.048 3.048 3.048



# 2
Pr9SmSc2 (GGA-PBE, relaxed); crystal system = tetragonal; theoretical density = 6.179 g/cm3; ΔE_f = 0.033 eV/atom; SG = No. 123; energy = -60.0 eV per cell
1.0
5.127 0.000 0.000
0.000 5.127 0.000
0.000 0.000 15.421
Pr Sm Sc
9 1 2
Cartesian
0.000 0.000 0.000
0.000 0.000 5.192
0.000 0.000 10.229
0.000 2.563 2.657
0.000 2.563 7.711
0.000 2.563 12.764
2.563 0.000 2.657
2.563 0.000 7.711
2.563 0.000 12.764
2.563 2.563 0.000
2.563 2.563 5.183
2.563 2.563 10.238



# 3
KZrTl (GGA-PBE, relaxed); crystal system = trigonal; theoretical density = 6.306 g/cm3; ΔE_f = 0.385 eV/atom; SG = No. 156; energy = -10.9 eV per cell
1.0
3.340 0.000 0.000
-1.670 2.892 0.000
0.000 0.000 9.124
K Zr Tl
1 1 1
Cartesian
0.000 0.000 0.000
0.000 1.928 5.689
1.670 0.964 3.078



# 4
Tb2NdGe (GGA-PBE, relaxed); crystal system = trigonal; theoretical density = 7.247 g/cm3; ΔE_f = -0.253 eV/atom; SG = No. 160; energy = -19.7 eV per cell
1.0
1.904 1.099 9.761
-1.904 1.099 9.761
0.000 -2.198 9.761
Tb Nd Ge
2 1 1
Cartesian
0.000 0.000 0.000
0.000 0.000 6.009
0.000 0.000 22.498
0.000 0.000 17.654



# 5
Pr3Nd4Er4 (GGA-PBE, relaxed); crystal system = orthorhombic; theoretical density = 7.475 g/cm3; ΔE_f = 0.019 eV/atom; SG = No. 71; energy = -51.5 eV per cell
1.0
-1.819 2.558 19.915
1.819 -2.558 19.915
1.819 2.558 -19.915
Pr Nd Er
3 4 4
Cartesian
0.000 0.000 0.000
0.000 0.000 14.458
0.000 0.000 25.373
0.000 0.000 7.306
0.000 0.000 18.064
0.000 0.000 21.766
0.000 0.000 32.524
0.000 0.000 3.649
0.000 0.000 10.824
0.000 0.000 29.006
0.000 0.000 36.181



# 6
SrCd2InHg2 (GGA-PBE, relaxed); crystal system = trigonal; theoretical density = 8.479 g/cm3; ΔE_f = -0.265 eV/atom; SG = No. 164; energy = -8.4 eV per cell
1.0
5.071 0.000 0.000
-2.536 4.392 0.000
0.000 0.000 7.285
Sr Cd In Hg
1 2 1 2
Cartesian
0.000 0.000 0.000
0.000 2.928 5.045
2.536 1.464 2.240
0.000 0.000 3.643
0.000 2.928 1.652
2.536 1.464 5.633



# 7
La2Tb2Pm7 (GGA-PBE, relaxed); crystal system = monoclinic; theoretical density = 6.904 g/cm3; ΔE_f = 0.171 eV/atom; SG = No. 12; energy = -50.5 eV per cell
1.0
6.306 -3.547 0.000
6.306 3.547 0.000
-3.708 0.000 8.660
La Tb Pm
2 2 7
Cartesian
1.269 0.000 4.014
7.634 0.000 4.646
4.452 1.764 4.330
4.452 -1.764 4.330
0.000 0.000 0.000
0.014 1.643 7.153
0.014 -1.643 7.153
5.591 0.000 1.463
3.313 0.000 7.197
8.890 1.643 1.507
8.890 -1.643 1.507



# 8
Ba3VC (GGA-PBE, relaxed); crystal system = cubic; theoretical density = 4.135 g/cm3; ΔE_f = 0.904 eV/atom; SG = No. 221; energy = -19.6 eV per cell
1.0
5.756 0.000 0.000
0.000 5.756 0.000
0.000 0.000 5.756
Ba V C
3 1 1
Cartesian
0.000 0.000 2.878
0.000 2.878 0.000
2.878 0.000 0.000
2.878 2.878 2.878
0.000 0.000 0.000



# 9
Li2TmZn10 (GGA-PBE, relaxed); crystal system = orthorhombic; theoretical density = 6.864 g/cm3; ΔE_f = -0.175 eV/atom; SG = No. 69; energy = -23.3 eV per cell
1.0
0.000 6.166 6.355
2.583 0.000 6.355
2.583 6.166 0.000
Li Tm Zn
2 1 10
Cartesian
1.292 0.000 3.178
1.292 6.166 3.178
0.000 0.000 0.000
1.292 3.083 0.000
2.583 4.007 2.246
2.583 4.860 4.956
2.583 8.325 2.246
2.583 7.472 4.956
1.292 3.083 6.355
2.583 4.860 7.755
2.583 4.007 10.465
2.583 7.472 7.755
2.583 8.325 10.465



# 10
Na2Mg2F7 (GGA-PBE, relaxed); crystal system = orthorhombic; formation energy (no corrections) = -272.97 kJ per mole of atoms; theoretical density = 2.745 g/cm3; SG = No. 65; energy = -50.0 eV per cell
1.0
3.347 -3.710 0.000
3.347 3.710 0.000
0.000 0.000 5.543
Na Mg F
2 2 7
Cartesian
1.636 0.000 0.000
5.059 0.000 0.000
3.347 1.996 2.772
3.347 -1.996 2.772
0.000 0.000 1.546
0.000 0.000 3.997
1.674 1.855 1.478
1.674 1.855 4.065
1.674 -1.855 1.478
1.674 -1.855 4.065
3.347 0.000 2.772



# 11
CaInBr (GGA-PBE, relaxed); crystal system = tetragonal; formation energy (no corrections) = -77.48 kJ per mole of atoms; theoretical density = 4.002 g/cm3; SG = No. 107; energy = -8.8 eV per cell
1.0
-1.891 1.891 6.808
1.891 -1.891 6.808
1.891 1.891 -6.808
Ca In Br
1 1 1
Cartesian
0.000 0.000 0.000
0.000 0.000 8.799
0.000 0.000 5.325



# 12
Ce2UTl3Se6 (GGA-PBE, relaxed); crystal system = monoclinic; formation energy (no corrections) = -112.99 kJ per mole of atoms; theoretical density = 7.175 g/cm3; SG = No. 12; energy = -65.2 eV per cell
1.0
3.712 -6.427 0.000
3.712 6.427 0.000
-2.474 0.000 7.786
Ce U Tl Se
2 1 3 6
Cartesian
3.712 4.287 0.000
3.712 -4.287 0.000
3.712 0.000 0.000
-1.237 0.000 3.893
2.475 2.153 3.893
2.475 -2.153 3.893
0.030 2.092 6.177
1.297 0.000 1.624
0.030 -2.092 6.177
4.920 2.092 1.609
3.652 0.000 6.162
4.920 -2.092 1.609



# 13
Tb6Ho3Er2 (GGA-PBE, relaxed); crystal system = trigonal; theoretical density = 8.647 g/cm3; ΔE_f = 0.018 eV/atom; SG = No. 166; energy = -50.4 eV per cell
1.0
1.767 1.020 31.639
-1.767 1.020 31.639
0.000 -2.041 31.639
Tb Ho Er
6 3 2
Cartesian
0.000 0.000 8.638
0.000 0.000 17.271
0.000 0.000 34.519
0.000 0.000 60.399
0.000 0.000 77.647
0.000 0.000 86.280
0.000 0.000 0.000
0.000 0.000 25.881
0.000 0.000 69.036
0.000 0.000 43.142
0.000 0.000 51.776



# 14
CaNiAs2Br (GGA-PBE, relaxed); crystal system = tetragonal; formation energy (no corrections) = -33.40 kJ per mole of atoms; theoretical density = 4.366 g/cm3; SG = No. 123; energy = -20.5 eV per cell
1.0
4.451 0.000 0.000
0.000 4.451 0.000
0.000 0.000 6.307
Ca Ni As Br
1 1 2 1
Cartesian
0.000 0.000 0.000
2.225 2.225 3.153
0.000 2.225 3.153
2.225 0.000 3.153
2.225 2.225 0.000



# 15
CuPbSe2 (GGA-PBE, relaxed); crystal system = trigonal; formation energy (no corrections) = -21.49 kJ per mole of atoms; theoretical density = 7.891 g/cm3; SG = No. 166; energy = -15.7 eV per cell
1.0
1.993 1.151 6.554
-1.993 1.151 6.554
0.000 -2.302 6.554
Cu Pb Se
1 1 2
Cartesian
0.000 0.000 0.000
0.000 0.000 9.831
0.000 0.000 5.238
0.000 0.000 14.425



# 16
SrFePt (GGA-PBE, relaxed); crystal system = cubic; theoretical density = 7.469 g/cm3; ΔE_f = 0.190 eV/atom; SG = No. 216; energy = -15.6 eV per cell
1.0
0.000 3.351 3.351
3.351 0.000 3.351
3.351 3.351 0.000
Sr Fe Pt
1 1 1
Cartesian
0.000 0.000 0.000
3.351 3.351 3.351
1.676 1.676 1.676



# 17
CeZr2Tl (GGA-PBE, relaxed); crystal system = tetragonal; theoretical density = 9.107 g/cm3; ΔE_f = -0.046 eV/atom; SG = No. 123; energy = -25.6 eV per cell
1.0
4.727 0.000 0.000
0.000 4.727 0.000
0.000 0.000 4.300
Ce Zr Tl
1 2 1
Cartesian
0.000 0.000 0.000
0.000 2.363 2.150
2.363 0.000 2.150
2.363 2.363 0.000



# 18
Fe2BMo (GGA-PBE, relaxed); crystal system = tetragonal; theoretical density = 8.133 g/cm3; ΔE_f = 0.225 eV/atom; SG = No. 122; energy = -67.1 eV per cell
1.0
-3.124 3.124 2.285
3.124 -3.124 2.285
3.124 3.124 -2.285
Fe B Mo
4 2 2
Cartesian
1.562 0.999 -0.571
2.125 -1.562 2.857
1.562 2.125 1.714
0.999 4.686 0.571
0.000 0.000 0.000
0.000 3.124 1.143
3.124 0.000 1.143
0.000 0.000 2.285



# 19
KZr2Mo (GGA-PBE, relaxed); crystal system = monoclinic; theoretical density = 4.640 g/cm3; ΔE_f = 0.288 eV/atom; SG = No. 10; energy = -27.9 eV per cell
1.0
3.366 0.000 0.000
0.000 3.366 0.000
-0.057 0.000 10.026
K Zr Mo
1 2 1
Cartesian
0.000 0.000 0.000
1.656 1.683 3.478
1.654 1.683 6.548
-0.029 0.000 5.013



# 20
VRuRh (GGA-PBE, relaxed); crystal system = triclinic; theoretical density = 10.187 g/cm3; ΔE_f = -0.167 eV/atom; SG = No. 1; energy = -52.5 eV per cell
1.0
2.745 0.000 0.000
-1.362 4.930 0.000
-0.024 -1.616 6.141
V Ru Rh
2 2 2
Cartesian
0.000 0.000 0.000
-0.046 2.577 0.354
1.333 1.032 1.974
1.340 3.700 2.305
-0.032 2.206 4.130
1.330 -0.089 4.495